# 1
Crystalline Rb2Cd6Ag3 at its relaxed geometry, computed with PBE.

Computed properties:
Theoretical density: 6.198 g/cm³
Space-group type: P-62m, No. 189

a = 8.801 Å, b = 8.801 Å, c = 4.669 Å
α = 90.00°, β = 90.00°, γ = 120.00°
Positions (direct):
1 Rb 0.333 0.667 0.000
2 Rb 0.667 0.333 0.000
3 Cd 0.000 0.284 0.500
4 Cd 0.000 0.805 0.000
5 Cd 0.195 0.195 0.000
6 Cd 0.284 0.000 0.500
7 Cd 0.716 0.716 0.500
8 Cd 0.805 0.000 0.000
9 Ag 0.000 0.617 0.500
10 Ag 0.383 0.383 0.500
11 Ag 0.617 0.000 0.500

---

# 2
Crystalline Rb5Cd5Ag2 at its relaxed geometry, computed with PBE.

Computed properties:
Theoretical density: 4.017 g/cm³
Space-group type: C2/m, No. 12

a = 9.546 Å, b = 9.546 Å, c = 13.684 Å
α = 125.67°, β = 125.67°, γ = 30.08°
Positions (direct):
1 Rb 0.000 0.000 0.000
2 Rb 0.301 0.301 0.416
3 Rb 0.371 0.371 0.173
4 Rb 0.629 0.629 0.827
5 Rb 0.699 0.699 0.584
6 Cd 0.000 0.000 0.500
7 Cd 0.061 0.061 0.329
8 Cd 0.300 0.300 0.841
9 Cd 0.700 0.700 0.159
10 Cd 0.939 0.939 0.671
11 Ag 0.396 0.396 0.737
12 Ag 0.604 0.604 0.263

---

# 3
Crystalline Rb3Cd6Ag at its relaxed geometry, computed with PBE.

Computed properties:
Theoretical density: 4.806 g/cm³
Space-group type: R-3m, No. 166

a = 8.160 Å, b = 8.160 Å, c = 8.160 Å
α = 112.74°, β = 112.74°, γ = 112.74°
Positions (direct):
1 Rb 0.000 0.500 0.500
2 Rb 0.500 0.000 0.500
3 Rb 0.500 0.500 0.000
4 Cd 0.084 0.084 0.341
5 Cd 0.084 0.341 0.084
6 Cd 0.341 0.084 0.084
7 Cd 0.659 0.916 0.916
8 Cd 0.916 0.659 0.916
9 Cd 0.916 0.916 0.659
10 Ag 0.500 0.500 0.500

---

# 4
Crystalline RbCd2Ag2 at its relaxed geometry, computed with PBE.

Computed properties:
Theoretical density: 7.112 g/cm³
Space-group type: P4/mbm, No. 127

a = 8.883 Å, b = 8.883 Å, c = 3.113 Å
α = 90.00°, β = 90.00°, γ = 90.00°
Positions (direct):
1 Rb 0.000 0.000 0.000
2 Rb 0.500 0.500 0.000
3 Cd 0.121 0.379 0.000
4 Cd 0.379 0.879 0.000
5 Cd 0.621 0.121 0.000
6 Cd 0.879 0.621 0.000
7 Ag 0.172 0.672 0.500
8 Ag 0.328 0.172 0.500
9 Ag 0.672 0.828 0.500
10 Ag 0.828 0.328 0.500

---

no.,total energy (eV per atom)
1,-1.457
2,-1.256
3,-1.115
4,-1.687